# 1
GGA-PBE AcPuRu, relaxed; formation energy from the elements = 16 meV/atom; DFT total energy = -9.22 eV/atom
1.0
3.660 0.000 0.000
0.000 3.660 0.000
-1.830 -1.830 5.953
Ru Pu Ac
1 1 1
Cartesian
1.830 1.830 2.462 Ru
0.000 0.000 3.398 Pu
0.000 0.000 0.093 Ac

***

# 2
GGA-PBE AcPuRu2, relaxed; formation energy from the elements = -16 meV/atom; DFT total energy = -9.26 eV/atom
1.0
-1.025 0.782 3.161
-0.953 -3.241 0.492
6.871 -1.622 2.629
Ac Ru Pu
1 2 1
Cartesian
2.446 -2.041 3.141 Ac
5.493 -1.297 2.102 Ru
1.379 -0.325 0.528 Ru
-0.989 -1.230 1.827 Pu

***

# 3
GGA-PBE AcPuRu, relaxed; formation energy from the elements = -88 meV/atom; DFT total energy = -9.33 eV/atom
1.0
-0.456 3.566 2.374
-3.928 1.235 -2.595
-4.735 -3.860 4.874
Pu Ac Ru
2 2 2
Cartesian
-6.144 -0.128 5.363 Pu
-7.922 -1.429 3.078 Pu
-6.395 1.813 2.413 Ac
-2.935 0.490 1.154 Ac
-4.582 -1.244 3.424 Ru
-4.748 3.547 0.143 Ru

***

# 4
GGA-PBE AcPuS3, relaxed; DFT total energy = -8.08 eV/atom; formation energy from raw total energies = -1913 meV per atom
1.0
-3.585 -2.125 -0.280
1.892 -2.263 -7.059
7.042 -12.667 5.947
Ac S Pu
4 12 4
Cartesian
2.432 -5.792 -2.769 Ac
4.590 -13.702 -1.538 Ac
2.917 -11.262 1.377 Ac
0.759 -3.352 0.147 Ac
-2.049 -2.593 -0.812 S
4.942 -10.855 3.512 S
3.711 -8.399 0.635 S
3.422 -11.459 -3.601 S
4.555 -14.067 1.684 S
1.638 -8.656 -2.027 S
5.364 -11.044 -0.460 S
-0.015 -6.010 -0.931 S
0.407 -6.199 -4.903 S
0.794 -2.987 -3.076 S
1.927 -5.595 2.209 S
7.398 -14.461 -0.579 S
0.962 -7.907 0.953 Pu
4.387 -9.147 -2.344 Pu
-1.033 -3.748 -5.060 Pu
6.382 -13.306 3.669 Pu

***

# 5
GGA-PBE AcPu4S6, relaxed; DFT total energy = -9.66 eV/atom; formation energy from raw total energies = -1828 meV per atom
1.0
-1.005 -3.658 1.337
3.687 -0.901 -5.746
16.936 -0.647 10.968
S Ac Pu
12 2 8
Cartesian
7.965 -2.152 6.152 S
-0.503 -1.829 0.668 S
5.970 -0.445 3.272 S
13.348 -3.299 7.063 S
11.374 -1.632 4.087 S
3.028 -0.333 1.367 S
13.647 -4.761 3.287 S
6.269 -1.907 -0.504 S
16.589 -4.873 5.192 S
2.663 -3.361 -1.142 S
8.243 -3.574 2.471 S
16.954 -1.845 7.701 S
14.893 -2.364 4.732 Ac
4.724 -2.842 1.827 Ac
4.724 -2.290 -2.714 Pu
14.893 -2.916 9.273 Pu
8.893 -2.449 -0.014 Pu
18.038 -4.431 7.491 Pu
10.724 -2.757 6.572 Pu
8.633 -1.044 3.635 Pu
1.579 -0.775 -0.933 Pu
10.985 -4.162 2.923 Pu

***

# 6
GGA-PBE AcPu2S4, relaxed; DFT total energy = -8.91 eV/atom; formation energy from raw total energies = -1872 meV per atom
1.0
-2.516 3.161 -0.306
-3.404 -5.529 -2.296
-4.485 -2.375 12.372
Pu S Ac
4 8 2
Cartesian
-8.894 -3.553 9.634 Pu
-1.512 -1.191 0.138 Pu
-3.187 -2.078 4.759 Pu
-7.219 -2.666 5.013 Pu
-3.501 0.393 6.033 S
-1.555 -0.961 2.865 S
-1.258 1.580 -0.153 S
-5.469 -1.444 3.244 S
-4.296 -0.823 0.008 S
-4.937 -3.300 6.527 S
-8.851 -3.782 6.906 S
-6.110 -3.921 9.763 S
-5.703 -1.117 8.559 Ac
-4.703 -3.627 1.213 Ac